# 1
First-principles (PBE) data for crystalline LiCrRh2 at its relaxed geometry, as listed in the Alexandria database.

Computed properties:
SG: Fm-3m (225)
E (eV for the cell shown): -26.78

Geometry as CIF:
```
data_LiCrRh2
_symmetry_space_group_name_H-M 'P 1'
_symmetry_Int_Tables_number 1
_cell_length_a 4.1646
_cell_length_b 4.1646
_cell_length_c 4.1646
_cell_angle_alpha 60.00
_cell_angle_beta 60.00
_cell_angle_gamma 60.00
loop_
_symmetry_equiv_pos_as_xyz
'x,y,z'
loop_
_atom_site_label
_atom_site_fract_x
_atom_site_fract_y
_atom_site_fract_z
Rh1 0.7500 0.7500 0.7500
Rh2 0.2500 0.2500 0.2500
Li1 0.0000 0.0000 0.0000
Cr1 0.5000 0.5000 0.5000
```


# 2
First-principles (PBE) data for crystalline LiCrRh at its relaxed geometry, as listed in the Alexandria database.

Computed properties:
SG: Imm2 (44)
E (eV for the cell shown): -18.55
Distance to the lowest polymorph of the same formula (eV/atom): 0.000

Geometry as CIF:
```
data_LiCrRh
_symmetry_space_group_name_H-M 'P 1'
_symmetry_Int_Tables_number 1
_cell_length_a 4.5370
_cell_length_b 4.5370
_cell_length_c 4.5370
_cell_angle_alpha 143.97
_cell_angle_beta 132.99
_cell_angle_gamma 60.63
loop_
_symmetry_equiv_pos_as_xyz
'x,y,z'
loop_
_atom_site_label
_atom_site_fract_x
_atom_site_fract_y
_atom_site_fract_z
Li1 0.3308 0.3308 0.0000
Rh1 0.6616 0.6616 0.0000
Cr1 0.0076 0.0076 0.0000
```


# 3
First-principles (PBE) data for crystalline Li2CrRh at its relaxed geometry, as listed in the Alexandria database.

Computed properties:
SG: R-3m (166)
E (eV for the cell shown): -19.89
Distance to the lowest polymorph of the same formula (eV/atom): 0.153

Geometry as CIF:
```
data_Li2CrRh
_symmetry_space_group_name_H-M 'P 1'
_symmetry_Int_Tables_number 1
_cell_length_a 9.3090
_cell_length_b 9.3090
_cell_length_c 9.3090
_cell_angle_alpha 16.06
_cell_angle_beta 16.06
_cell_angle_gamma 16.06
loop_
_symmetry_equiv_pos_as_xyz
'x,y,z'
loop_
_atom_site_label
_atom_site_fract_x
_atom_site_fract_y
_atom_site_fract_z
Cr1 0.7500 0.7500 0.7500
Li1 0.9964 0.9964 0.9964
Li2 0.5036 0.5036 0.5036
Rh1 0.2500 0.2500 0.2500
```


# 4
First-principles (PBE) data for crystalline Li2CrRh at its relaxed geometry, as listed in the Alexandria database.

Computed properties:
SG: Cmmm (65)
E (eV for the cell shown): -19.88
Distance to the lowest polymorph of the same formula (eV/atom): 0.156

Geometry as CIF:
```
data_Li2CrRh
_symmetry_space_group_name_H-M 'P 1'
_symmetry_Int_Tables_number 1
_cell_length_a 2.5513
_cell_length_b 2.5513
_cell_length_c 9.1734
_cell_angle_alpha 90.00
_cell_angle_beta 90.00
_cell_angle_gamma 115.78
loop_
_symmetry_equiv_pos_as_xyz
'x,y,z'
loop_
_atom_site_label
_atom_site_fract_x
_atom_site_fract_y
_atom_site_fract_z
Rh1 0.5000 0.5000 0.2500
Li1 0.0000 0.0000 0.4893
Li2 0.0000 0.0000 0.0107
Cr1 0.5000 0.5000 0.7500
```


# 5
First-principles (PBE) data for crystalline LiCrRh at its relaxed geometry, as listed in the Alexandria database.

Computed properties:
SG: P3m1 (156)
E (eV for the cell shown): -18.47
Distance to the lowest polymorph of the same formula (eV/atom): 0.025

Geometry as CIF:
```
data_LiCrRh
_symmetry_space_group_name_H-M 'P 1'
_symmetry_Int_Tables_number 1
_cell_length_a 4.0747
_cell_length_b 4.0747
_cell_length_c 2.6286
_cell_angle_alpha 90.00
_cell_angle_beta 90.00
_cell_angle_gamma 120.00
loop_
_symmetry_equiv_pos_as_xyz
'x,y,z'
loop_
_atom_site_label
_atom_site_fract_x
_atom_site_fract_y
_atom_site_fract_z
Rh1 0.3333 0.6667 0.6825
Cr1 0.0000 0.0000 0.9884
Li1 0.6667 0.3333 0.3291
```


# 6
First-principles (PBE) data for crystalline Li2CrRh at its relaxed geometry, as listed in the Alexandria database.

Computed properties:
SG: F-43m (216)
E (eV for the cell shown): -20.26
Distance to the lowest polymorph of the same formula (eV/atom): 0.060

Geometry as CIF:
```
data_Li2CrRh
_symmetry_space_group_name_H-M 'P 1'
_symmetry_Int_Tables_number 1
_cell_length_a 4.1303
_cell_length_b 4.1303
_cell_length_c 4.1303
_cell_angle_alpha 120.01
_cell_angle_beta 120.01
_cell_angle_gamma 89.99
loop_
_symmetry_equiv_pos_as_xyz
'x,y,z'
loop_
_atom_site_label
_atom_site_fract_x
_atom_site_fract_y
_atom_site_fract_z
Cr1 0.7500 0.2500 0.5000
Li1 0.0000 0.0000 0.0000
Li2 0.2500 0.7500 0.5000
Rh1 0.5000 0.5000 0.0000
```


# 7
First-principles (PBE) data for crystalline Li2CrRh at its relaxed geometry, as listed in the Alexandria database.

Computed properties:
SG: Pmmm (47)
E (eV for the cell shown): -20.44
Distance to the lowest polymorph of the same formula (eV/atom): 0.015

Geometry as CIF:
```
data_Li2CrRh
_symmetry_space_group_name_H-M 'P 1'
_symmetry_Int_Tables_number 1
_cell_length_a 2.9299
_cell_length_b 4.2696
_cell_length_c 4.5109
_cell_angle_alpha 90.00
_cell_angle_beta 90.00
_cell_angle_gamma 90.00
loop_
_symmetry_equiv_pos_as_xyz
'x,y,z'
loop_
_atom_site_label
_atom_site_fract_x
_atom_site_fract_y
_atom_site_fract_z
Li1 0.0000 0.0000 0.0000
Li2 0.5000 0.5000 0.0000
Rh1 0.5000 0.0000 0.5000
Cr1 0.0000 0.5000 0.5000
```


# 8
First-principles (PBE) data for crystalline LiCr2Rh at its relaxed geometry, as listed in the Alexandria database.

Computed properties:
SG: I4/mmm (139)
E (eV for the cell shown): -27.68

Geometry as CIF:
```
data_LiCr2Rh
_symmetry_space_group_name_H-M 'P 1'
_symmetry_Int_Tables_number 1
_cell_length_a 4.8697
_cell_length_b 4.8697
_cell_length_c 4.8697
_cell_angle_alpha 139.73
_cell_angle_beta 139.73
_cell_angle_gamma 58.26
loop_
_symmetry_equiv_pos_as_xyz
'x,y,z'
loop_
_atom_site_label
_atom_site_fract_x
_atom_site_fract_y
_atom_site_fract_z
Cr1 0.5000 0.5000 0.0000
Cr2 0.0000 0.0000 0.0000
Rh1 0.7500 0.2500 0.5000
Li1 0.2500 0.7500 0.5000
```


# 9
First-principles (PBE) data for crystalline LiCrRh2 at its relaxed geometry, as listed in the Alexandria database.

Computed properties:
SG: Immm (71)
E (eV for the cell shown): -24.77

Geometry as CIF:
```
data_LiCrRh2
_symmetry_space_group_name_H-M 'P 1'
_symmetry_Int_Tables_number 1
_cell_length_a 5.5211
_cell_length_b 5.5211
_cell_length_c 5.5211
_cell_angle_alpha 152.10
_cell_angle_beta 57.93
_cell_angle_gamma 130.32
loop_
_symmetry_equiv_pos_as_xyz
'x,y,z'
loop_
_atom_site_label
_atom_site_fract_x
_atom_site_fract_y
_atom_site_fract_z
Rh1 0.2722 0.0000 0.2722
Rh2 0.7278 0.0000 0.7278
Li1 0.0000 0.0000 0.0000
Cr1 0.5000 0.0000 0.5000
```


# 10
First-principles (PBE) data for crystalline LiCrRh2 at its relaxed geometry, as listed in the Alexandria database.

Computed properties:
SG: I-4m2 (119)
E (eV for the cell shown): -26.24

Geometry as CIF:
```
data_LiCrRh2
_symmetry_space_group_name_H-M 'P 1'
_symmetry_Int_Tables_number 1
_cell_length_a 4.7722
_cell_length_b 4.7722
_cell_length_c 4.7722
_cell_angle_alpha 135.42
_cell_angle_beta 135.42
_cell_angle_gamma 64.88
loop_
_symmetry_equiv_pos_as_xyz
'x,y,z'
loop_
_atom_site_label
_atom_site_fract_x
_atom_site_fract_y
_atom_site_fract_z
Li1 0.7500 0.2500 0.5000
Rh1 0.0000 0.0000 0.0000
Rh2 0.2500 0.7500 0.5000
Cr1 0.5000 0.5000 0.0000
```


# 11
First-principles (PBE) data for crystalline LiCrRh2 at its relaxed geometry, as listed in the Alexandria database.

Computed properties:
SG: P4/mmm (123)
E (eV for the cell shown): -26.70

Geometry as CIF:
```
data_LiCrRh2
_symmetry_space_group_name_H-M 'P 1'
_symmetry_Int_Tables_number 1
_cell_length_a 2.8443
_cell_length_b 2.8443
_cell_length_c 6.2104
_cell_angle_alpha 90.00
_cell_angle_beta 90.00
_cell_angle_gamma 90.00
loop_
_symmetry_equiv_pos_as_xyz
'x,y,z'
loop_
_atom_site_label
_atom_site_fract_x
_atom_site_fract_y
_atom_site_fract_z
Li1 0.5000 0.5000 0.7500
Cr1 0.5000 0.5000 0.2500
Rh1 0.0000 0.0000 0.5037
Rh2 0.0000 0.0000 0.9963
```


# 12
First-principles (PBE) data for crystalline Li2CrRh at its relaxed geometry, as listed in the Alexandria database.

Computed properties:
SG: Cm (8)
E (eV for the cell shown): -20.29
Distance to the lowest polymorph of the same formula (eV/atom): 0.053

Geometry as CIF:
```
data_Li2CrRh
_symmetry_space_group_name_H-M 'P 1'
_symmetry_Int_Tables_number 1
_cell_length_a 4.5973
_cell_length_b 4.5973
_cell_length_c 4.7142
_cell_angle_alpha 75.17
_cell_angle_beta 75.17
_cell_angle_gamma 36.19
loop_
_symmetry_equiv_pos_as_xyz
'x,y,z'
loop_
_atom_site_label
_atom_site_fract_x
_atom_site_fract_y
_atom_site_fract_z
Li1 0.7575 0.7575 0.7975
Li2 0.0037 0.0037 0.9467
Rh1 0.4975 0.4975 0.4378
Cr1 0.2413 0.2413 0.3180
```


# 13
First-principles (PBE) data for crystalline LiCrRh2 at its relaxed geometry, as listed in the Alexandria database.

Computed properties:
SG: C2/m (12)
E (eV for the cell shown): -26.30

Geometry as CIF:
```
data_LiCrRh2
_symmetry_space_group_name_H-M 'P 1'
_symmetry_Int_Tables_number 1
_cell_length_a 4.4564
_cell_length_b 4.4564
_cell_length_c 4.7351
_cell_angle_alpha 79.68
_cell_angle_beta 79.68
_cell_angle_gamma 36.04
loop_
_symmetry_equiv_pos_as_xyz
'x,y,z'
loop_
_atom_site_label
_atom_site_fract_x
_atom_site_fract_y
_atom_site_fract_z
Cr1 0.2500 0.2500 0.2500
Rh1 0.5049 0.5049 0.5000
Rh2 0.9951 0.9951 0.0000
Li1 0.7500 0.7500 0.7500
```


# 14
First-principles (PBE) data for crystalline LiCrRh2 at its relaxed geometry, as listed in the Alexandria database.

Computed properties:
SG: Pmm2 (25)
E (eV for the cell shown): -26.26

Geometry as CIF:
```
data_LiCrRh2
_symmetry_space_group_name_H-M 'P 1'
_symmetry_Int_Tables_number 1
_cell_length_a 2.6795
_cell_length_b 3.8978
_cell_length_c 4.9479
_cell_angle_alpha 90.00
_cell_angle_beta 90.00
_cell_angle_gamma 90.00
loop_
_symmetry_equiv_pos_as_xyz
'x,y,z'
loop_
_atom_site_label
_atom_site_fract_x
_atom_site_fract_y
_atom_site_fract_z
Rh1 0.0000 0.0000 0.9551
Rh2 0.5000 0.5000 0.2772
Li1 0.5000 0.5000 0.7700
Cr1 0.0000 0.0000 0.4977
```


# 15
First-principles (PBE) data for crystalline Li2CrRh at its relaxed geometry, as listed in the Alexandria database.

Computed properties:
SG: C2/m (12)
E (eV for the cell shown): -20.50
Distance to the lowest polymorph of the same formula (eV/atom): 0.000

Geometry as CIF:
```
data_Li2CrRh
_symmetry_space_group_name_H-M 'P 1'
_symmetry_Int_Tables_number 1
_cell_length_a 5.2600
_cell_length_b 5.2600
_cell_length_c 4.3114
_cell_angle_alpha 65.03
_cell_angle_beta 65.03
_cell_angle_gamma 31.88
loop_
_symmetry_equiv_pos_as_xyz
'x,y,z'
loop_
_atom_site_label
_atom_site_fract_x
_atom_site_fract_y
_atom_site_fract_z
Rh1 0.7500 0.7500 0.7500
Li1 0.4890 0.4890 0.5103
Li2 0.0110 0.0110 0.9897
Cr1 0.2500 0.2500 0.2500
```


# 16
First-principles (PBE) data for crystalline LiCr2Rh2 at its relaxed geometry, as listed in the Alexandria database.

Computed properties:
SG: P4/mbm (127)
E (eV for the cell shown): -71.40
Distance to the lowest polymorph of the same formula (eV/atom): 0.000

Geometry as CIF:
```
data_LiCr2Rh2
_symmetry_space_group_name_H-M 'P 1'
_symmetry_Int_Tables_number 1
_cell_length_a 7.2753
_cell_length_b 7.2753
_cell_length_c 2.6553
_cell_angle_alpha 90.00
_cell_angle_beta 90.00
_cell_angle_gamma 90.00
loop_
_symmetry_equiv_pos_as_xyz
'x,y,z'
loop_
_atom_site_label
_atom_site_fract_x
_atom_site_fract_y
_atom_site_fract_z
Rh1 0.1752 0.6752 0.5000
Rh2 0.3248 0.1752 0.5000
Rh3 0.8248 0.3248 0.5000
Rh4 0.6752 0.8248 0.5000
Cr1 0.8878 0.6122 0.0000
Cr2 0.1122 0.3878 0.0000
Cr3 0.6122 0.1122 0.0000
Cr4 0.3878 0.8878 0.0000
Li1 0.5000 0.5000 0.0000
Li2 0.0000 0.0000 0.0000
```


# 17
First-principles (PBE) data for crystalline LiCrRh2 at its relaxed geometry, as listed in the Alexandria database.

Computed properties:
SG: P4mm (99)
E (eV for the cell shown): -25.80

Geometry as CIF:
```
data_LiCrRh2
_symmetry_space_group_name_H-M 'P 1'
_symmetry_Int_Tables_number 1
_cell_length_a 3.1113
_cell_length_b 3.1113
_cell_length_c 5.3851
_cell_angle_alpha 90.00
_cell_angle_beta 90.00
_cell_angle_gamma 90.00
loop_
_symmetry_equiv_pos_as_xyz
'x,y,z'
loop_
_atom_site_label
_atom_site_fract_x
_atom_site_fract_y
_atom_site_fract_z
Li1 0.5000 0.5000 0.7630
Rh1 0.5000 0.5000 0.2812
Rh2 0.0000 0.0000 0.9460
Cr1 0.0000 0.0000 0.5099
```


# 18
First-principles (PBE) data for crystalline LiCr2Rh at its relaxed geometry, as listed in the Alexandria database.

Computed properties:
SG: Cmmm (65)
E (eV for the cell shown): -26.87

Geometry as CIF:
```
data_LiCr2Rh
_symmetry_space_group_name_H-M 'P 1'
_symmetry_Int_Tables_number 1
_cell_length_a 2.5319
_cell_length_b 2.5319
_cell_length_c 9.0668
_cell_angle_alpha 90.00
_cell_angle_beta 90.00
_cell_angle_gamma 114.35
loop_
_symmetry_equiv_pos_as_xyz
'x,y,z'
loop_
_atom_site_label
_atom_site_fract_x
_atom_site_fract_y
_atom_site_fract_z
Li1 0.5000 0.5000 0.2500
Rh1 0.5000 0.5000 0.7500
Cr1 0.0000 0.0000 0.5089
Cr2 0.0000 0.0000 0.9911
```


# 19
First-principles (PBE) data for crystalline LiCr2Rh2 at its relaxed geometry, as listed in the Alexandria database.

Computed properties:
SG: P4/mbm (127)
E (eV for the cell shown): -70.73
Distance to the lowest polymorph of the same formula (eV/atom): 0.067

Geometry as CIF:
```
data_LiCr2Rh2
_symmetry_space_group_name_H-M 'P 1'
_symmetry_Int_Tables_number 1
_cell_length_a 7.3177
_cell_length_b 7.3177
_cell_length_c 2.6500
_cell_angle_alpha 90.00
_cell_angle_beta 90.00
_cell_angle_gamma 90.00
loop_
_symmetry_equiv_pos_as_xyz
'x,y,z'
loop_
_atom_site_label
_atom_site_fract_x
_atom_site_fract_y
_atom_site_fract_z
Li1 0.0000 0.0000 0.0000
Li2 0.5000 0.5000 0.0000
Cr1 0.1614 0.6614 0.5000
Cr2 0.6614 0.8386 0.5000
Cr3 0.3386 0.1614 0.5000
Cr4 0.8386 0.3386 0.5000
Rh1 0.3659 0.8659 0.0000
Rh2 0.6341 0.1341 0.0000
Rh3 0.8659 0.6341 0.0000
Rh4 0.1341 0.3659 0.0000
```


# 20
First-principles (PBE) data for crystalline LiCr2Rh at its relaxed geometry, as listed in the Alexandria database.

Computed properties:
SG: Imm2 (44)
E (eV for the cell shown): -27.96

Geometry as CIF:
```
data_LiCr2Rh
_symmetry_space_group_name_H-M 'P 1'
_symmetry_Int_Tables_number 1
_cell_length_a 4.8926
_cell_length_b 4.8926
_cell_length_c 4.8926
_cell_angle_alpha 145.52
_cell_angle_beta 126.78
_cell_angle_gamma 64.97
loop_
_symmetry_equiv_pos_as_xyz
'x,y,z'
loop_
_atom_site_label
_atom_site_fract_x
_atom_site_fract_y
_atom_site_fract_z
Li1 0.5007 0.5007 0.0000
Rh1 0.2418 0.7418 0.5000
Cr1 0.7701 0.2701 0.5000
Cr2 0.9874 0.9874 0.0000
```